No. 1
First-principles (PBEsol) data for an optimized crystal structure of Ba2RuW, as listed in Alexandria.

## Properties
The value obtained for the formation energy is 13.7 kcal/mol of atoms. As for the space group: Pm (6). The calculation puts the volume at 27.12 Å³/atom. Its calculated total energy is -6.476 eV per atom. As for the total magnetic moment: 0.002 μB per formula unit.

Unit cell a=3.2779 b=3.3469 c=10.0260 alpha=90.00 beta=99.52 gamma=90.00
Positions (direct):
W 0.4751 0.5000 0.3253
Ba 0.6534 0.5000 0.6792
Ba 0.8435 0.0000 0.0656
Ru 0.0280 0.0000 0.4300


No. 2
First-principles (PBEsol) data for an optimized crystal structure of BaRuW, as listed in Alexandria.

## Properties
The value obtained for the formation energy is 17.9 kcal/mol of atoms. As for the space group: P3m1 (156). The calculation puts the volume at 26.15 Å³/atom. Its calculated total energy is -7.934 eV per atom. As for the total magnetic moment: 0.000 μB per formula unit.

Unit cell a=4.1120 b=4.1120 c=5.3578 alpha=90.00 beta=90.00 gamma=120.00
Positions (direct):
Ba 0.0000 0.0000 0.9959
Ru 0.3333 0.6667 0.5280
W 0.6667 0.3333 0.4761


No. 3
First-principles (PBEsol) data for an optimized crystal structure of BaRu2W, as listed in Alexandria.

## Properties
The value obtained for the formation energy is 27.9 kcal/mol of atoms. As for the space group: P4/mmm (123). The calculation puts the volume at 18.18 Å³/atom. Its calculated total energy is -7.864 eV per atom. As for the total magnetic moment: 0.003 μB per formula unit.

Unit cell a=2.9904 b=4.9317 c=4.9317 alpha=90.00 beta=90.00 gamma=90.00
Positions (direct):
W 0.5000 0.5000 0.5000
Ru 0.0000 0.0000 0.5000
Ru 0.0000 0.5000 0.0000
Ba 0.5000 0.0000 0.0000


No. 4
First-principles (PBEsol) data for an optimized crystal structure of BaY2Ru, as listed in Alexandria.

## Properties
The value obtained for the formation energy is 11.1 kcal/mol of atoms. As for the space group: I-4m2 (119). The calculation puts the volume at 25.35 Å³/atom. Its calculated total energy is -6.008 eV per atom. As for the total magnetic moment: 0.000 μB per formula unit.

Unit cell a=4.4338 b=4.4338 c=6.0370 alpha=111.54 beta=111.54 gamma=90.00
Positions (direct):
Y 0.0000 0.0000 0.0000
Y 0.7500 0.2500 0.5000
Ru 0.2500 0.7500 0.5000
Ba 0.5000 0.5000 0.0000


No. 5
First-principles (PBEsol) data for an optimized crystal structure of BaY2Ru, as listed in Alexandria.

## Properties
The value obtained for the formation energy is 3.2 kcal/mol of atoms. As for the space group: P4mm (99). The calculation puts the volume at 30.96 Å³/atom. Its calculated total energy is -6.351 eV per atom. As for the total magnetic moment: 0.002 μB per formula unit.

Unit cell a=3.8517 b=3.8517 c=8.3477 alpha=90.00 beta=90.00 gamma=90.00
Positions (direct):
Y 0.0000 0.0000 0.9312
Y 0.5000 0.5000 0.1757
Ru 0.5000 0.5000 0.8562
Ba 0.0000 0.0000 0.5369


No. 6
First-principles (PBEsol) data for an optimized crystal structure of BaY3Ru, as listed in Alexandria.

## Properties
The value obtained for the formation energy is -3.5 kcal/mol of atoms. As for the space group: Pmma (51). The calculation puts the volume at 31.39 Å³/atom. Its calculated total energy is -6.708 eV per atom. As for the total magnetic moment: 0.000 μB per formula unit.

Unit cell a=6.0636 b=6.6217 c=7.8168 alpha=90.00 beta=90.00 gamma=90.00
Positions (direct):
Ru 0.0000 0.5000 0.0000
Ru 0.5000 0.5000 0.0000
Y 0.7500 0.6753 0.7583
Y 0.2500 0.3247 0.7583
Y 0.2500 0.3247 0.2417
Y 0.7500 0.1562 0.0000
Y 0.2500 0.8438 0.0000
Y 0.7500 0.6753 0.2417
Ba 0.2500 0.8143 0.5000
Ba 0.7500 0.1857 0.5000


No. 7
First-principles (PBEsol) data for an optimized crystal structure of BaYRu, as listed in Alexandria.

## Properties
The value obtained for the formation energy is 8.6 kcal/mol of atoms. As for the space group: P-6m2 (187). The calculation puts the volume at 29.92 Å³/atom. Its calculated total energy is -6.009 eV per atom. As for the total magnetic moment: 0.001 μB per formula unit.

Unit cell a=4.5095 b=4.5095 c=5.0964 alpha=90.00 beta=90.00 gamma=120.00
Positions (direct):
Ru 0.3333 0.6667 0.5002
Y 0.6667 0.3333 0.4999
Ba 0.0000 0.0000 0.9998


No. 8
First-principles (PBEsol) data for an optimized crystal structure of BaZn2Ru, as listed in Alexandria.

## Properties
The value obtained for the formation energy is 11.1 kcal/mol of atoms. As for the space group: I4/mmm (139). The calculation puts the volume at 19.49 Å³/atom. Its calculated total energy is -3.392 eV per atom. As for the total magnetic moment: 0.030 μB per formula unit.

Unit cell a=4.2964 b=4.2964 c=5.2034 alpha=114.38 beta=114.38 gamma=90.00
Positions (direct):
Ba 0.5000 0.5000 0.0000
Ru 0.0000 0.0000 0.0000
Zn 0.7500 0.2500 0.5000
Zn 0.2500 0.7500 0.5000


> calculated total energy of number 1 (Ba2RuW)?

-6.476 eV per atom